First-principles (PBE) data for NaGaBi2 after structural relaxation, as listed in the Alexandria database.

Calculated values
Crystal system: tetragonal

Unit cell a=4.9793 b=4.7507 c=4.7507 alpha=90.00 beta=90.00 gamma=90.00
With the nearest neighbours (Å) after each atom.
Sites, in units of the cell vectors:
Bi1 0.0000 0.0000 0.5000  4 Bi 3.36, 4 Na 3.44, 4 Ga 3.44
Bi2 0.0000 0.5000 0.0000  4 Bi 3.36, 4 Na 3.44, 4 Ga 3.44
Na1 0.5000 0.5000 0.5000  4 Ga 3.36, 8 Bi 3.44
Ga1 0.5000 0.0000 0.0000  4 Na 3.36, 8 Bi 3.44

First-principles (PBE) data for NaGaBi2 after structural relaxation, as listed in the Alexandria database.

Calculated values
Crystal system: orthorhombic

Unit cell a=3.4323 b=5.0353 c=13.6099 alpha=90.00 beta=97.24 gamma=90.00
With the nearest neighbours (Å) after each atom.
Sites, in units of the cell vectors:
Na1 0.3957 0.7500 0.7915  8 Bi 3.41-3.54, 2 Na 3.43
Bi1 0.9622 0.2500 0.9245  5 Bi 3.24-3.43, 4 Na 3.54
Bi2 0.0378 0.7500 0.0755  5 Bi 3.24-3.43, 4 Na 3.54
Ga1 0.2346 0.2500 0.4693  6 Ga 3.16-3.43, 4 Bi 3.21-3.31
Bi3 0.1607 0.7500 0.3213  4 Ga 3.21-3.31, 3 Bi 3.32-3.43, 4 Na 3.41
Ga2 0.7654 0.7500 0.5307  6 Ga 3.16-3.43, 4 Bi 3.21-3.31
Bi4 0.8393 0.2500 0.6787  4 Ga 3.21-3.31, 3 Bi 3.32-3.43, 4 Na 3.41
Na2 0.6043 0.2500 0.2085  8 Bi 3.41-3.54, 2 Na 3.43

Listing theoretical density for the structures above in their given order: 7.55, 7.27 g/cm3.
Listing energy of formation from the pure elements for the structures above in their given order: -0.099, -0.081 eV/atom.